The following is a DFT calculation (PBE-GGA) of Tb3Nd2Sm4 after structural relaxation.

Cell and atoms, written as CIF:
```
data_Tb3Nd2Sm4
_chemical_formula_sum 'Tb3 Nd2 Sm4'
_cell_length_a 6.257
_cell_length_b 6.269
_cell_length_c 13.038
_cell_angle_alpha 118.75
_cell_angle_beta 103.90
_cell_angle_gamma 119.91
_symmetry_space_group_name_H-M 'P 1'
_symmetry_Int_Tables_number 1
_symmetry_space_group_name_Hall 'P 1'
loop_
_atom_site_label
_atom_site_type_symbol
_atom_site_fract_x
_atom_site_fract_y
_atom_site_fract_z
Sm1 Sm 0.888 0.777 0.667
Tb1 Tb 0.000 0.000 0.000
Sm2 Sm 0.668 0.334 0.000
Nd1 Nd 0.223 0.446 0.667
Nd2 Nd 0.777 0.554 0.333
Tb2 Tb 0.443 0.887 0.333
Tb3 Tb 0.557 0.113 0.667
Sm3 Sm 0.332 0.666 0.000
Sm4 Sm 0.112 0.223 0.333
```

Output
**Fermi-level density of states**: 1.39 states/eV/atom
**DFT formation energy**: 14 meV per atom
**ΔE to the lowest computed polymorph**: 0.000 eV/atom
**SG**: P-1 (2)

***

The following is a DFT calculation (PBE-GGA) of KSnPtO4 after structural relaxation.

Cell and atoms, written as CIF:
```
data_KSnPtO4
_chemical_formula_sum 'K2 Sn2 Pt2 O8'
_cell_length_a 6.511
_cell_length_b 6.885
_cell_length_c 6.440
_cell_angle_alpha 117.88
_cell_angle_beta 90.00
_cell_angle_gamma 118.22
_symmetry_space_group_name_H-M 'P 1'
_symmetry_Int_Tables_number 1
_symmetry_space_group_name_Hall 'P 1'
loop_
_atom_site_label
_atom_site_type_symbol
_atom_site_fract_x
_atom_site_fract_y
_atom_site_fract_z
Pt1 Pt 0.500 0.500 0.500
O1 O 0.285 0.985 0.743
K1 K 0.140 0.280 0.890
Pt2 Pt 0.000 0.500 0.500
Sn1 Sn 0.500 0.000 0.500
O2 O 0.700 0.985 0.743
O3 O 0.711 0.421 0.658
O4 O 0.289 0.579 0.342
Sn2 Sn 0.500 0.000 0.000
O5 O 0.289 0.579 0.736
O6 O 0.300 0.015 0.257
O7 O 0.711 0.421 0.264
K2 K 0.860 0.720 0.110
O8 O 0.715 0.015 0.257
```

Output
**Fermi-level density of states**: 0.11 states/eV/atom
**Uncorrected formation energy**: -1.085 eV per atom
**SG**: Imma (74)

***

The following is a DFT calculation (PBE-GGA) of BC3 after structural relaxation.

Cell and atoms, written as CIF:
```
data_BC3
_chemical_formula_sum 'B3 C9'
_cell_length_a 5.969
_cell_length_b 5.969
_cell_length_c 5.202
_cell_angle_alpha 102.72
_cell_angle_beta 102.72
_cell_angle_gamma 24.39
_symmetry_space_group_name_H-M 'P 1'
_symmetry_Int_Tables_number 1
_symmetry_space_group_name_Hall 'P 1'
loop_
_atom_site_label
_atom_site_type_symbol
_atom_site_fract_x
_atom_site_fract_y
_atom_site_fract_z
C1 C 0.666 0.666 0.836
B1 B 0.329 0.329 0.666
C2 C 0.926 0.926 0.714
B2 B 0.922 0.922 0.211
C3 C 0.582 0.582 0.551
C4 C 0.322 0.322 0.160
C5 C 0.255 0.255 0.366
C6 C 0.004 0.004 0.513
B3 B 0.663 0.663 0.334
C7 C 0.245 0.245 0.878
C8 C 0.005 0.005 0.993
C9 C 0.581 0.581 0.030
```

Output
**Fermi-level density of states**: 0.19 states/eV/atom
**DFT formation energy**: 287 meV per atom
**ΔE to the lowest computed polymorph**: 0.047 eV/atom
**SG**: Cm (8)

***

The following is a DFT calculation (PBE-GGA) of PmYSn after structural relaxation.

Cell and atoms, written as CIF:
```
data_PmYSn
_chemical_formula_sum 'Pm1 Y1 Sn1'
_cell_length_a 3.931
_cell_length_b 5.154
_cell_length_c 5.154
_cell_angle_alpha 120.00
_cell_angle_beta 90.00
_cell_angle_gamma 90.00
_symmetry_space_group_name_H-M 'P 1'
_symmetry_Int_Tables_number 1
_symmetry_space_group_name_Hall 'P 1'
loop_
_atom_site_label
_atom_site_type_symbol
_atom_site_fract_x
_atom_site_fract_y
_atom_site_fract_z
Y1 Y 0.742 0.333 0.667
Pm1 Pm 0.294 0.667 0.333
Sn1 Sn 0.964 0.000 0.000
```

Output
**Fermi-level density of states**: 0.77 states/eV/atom
**DFT formation energy**: -385 meV per atom
**ΔE to the lowest computed polymorph**: 0.218 eV/atom
**SG**: P3m1 (156)

***

The following is a DFT calculation (PBE-GGA) of NdGa2GeOs2 after structural relaxation.

Cell and atoms, written as CIF:
```
data_NdGa2GeOs2
_chemical_formula_sum 'Nd1 Ga2 Ge1 Os2'
_cell_length_a 4.580
_cell_length_b 4.580
_cell_length_c 5.695
_cell_angle_alpha 90.00
_cell_angle_beta 90.00
_cell_angle_gamma 90.00
_symmetry_space_group_name_H-M 'P 1'
_symmetry_Int_Tables_number 1
_symmetry_space_group_name_Hall 'P 1'
loop_
_atom_site_label
_atom_site_type_symbol
_atom_site_fract_x
_atom_site_fract_y
_atom_site_fract_z
Os1 Os 0.000 0.500 0.000
Ge1 Ge 0.000 0.000 0.000
Ga1 Ga 0.500 0.500 0.268
Nd1 Nd 0.000 0.000 0.500
Os2 Os 0.500 0.000 0.000
Ga2 Ga 0.500 0.500 0.732
```

Output
**Fermi-level density of states**: 0.75 states/eV/atom
**DFT formation energy**: 80 meV per atom
**SG**: P4/mmm (123)

***

The following is a DFT calculation (PBE-GGA) of ZnCrPt2 after structural relaxation.

Cell and atoms, written as CIF:
```
data_ZnCrPt2
_chemical_formula_sum 'Zn1 Cr1 Pt2'
_cell_length_a 3.609
_cell_length_b 2.862
_cell_length_c 6.377
_cell_angle_alpha 63.23
_cell_angle_beta 90.00
_cell_angle_gamma 90.00
_symmetry_space_group_name_H-M 'P 1'
_symmetry_Int_Tables_number 1
_symmetry_space_group_name_Hall 'P 1'
loop_
_atom_site_label
_atom_site_type_symbol
_atom_site_fract_x
_atom_site_fract_y
_atom_site_fract_z
Pt1 Pt 0.000 0.498 0.502
Zn1 Zn 0.500 0.250 0.250
Pt2 Pt 0.000 0.002 0.998
Cr1 Cr 0.500 0.750 0.750
```

Output
**Fermi-level density of states**: 0.83 states/eV/atom
**DFT formation energy**: -362 meV per atom
**SG**: P2/m (10)

***

The following is a DFT calculation (PBE-GGA) of Tb3Al3Ni2 after structural relaxation.

Cell and atoms, written as CIF:
```
data_Tb3Al3Ni2
_chemical_formula_sum 'Tb12 Al12 Ni8'
_cell_length_a 5.469
_cell_length_b 7.897
_cell_length_c 14.996
_cell_angle_alpha 90.00
_cell_angle_beta 90.00
_cell_angle_gamma 90.00
_symmetry_space_group_name_H-M 'P 1'
_symmetry_Int_Tables_number 1
_symmetry_space_group_name_Hall 'P 1'
loop_
_atom_site_label
_atom_site_type_symbol
_atom_site_fract_x
_atom_site_fract_y
_atom_site_fract_z
Al1 Al 0.602 0.334 0.750
Al2 Al 0.606 0.323 0.034
Tb1 Tb 0.383 0.681 0.750
Ni1 Ni 0.625 0.609 0.394
Al3 Al 0.606 0.323 0.466
Tb2 Tb 0.610 0.037 0.611
Ni2 Ni 0.625 0.609 0.106
Ni3 Ni 0.375 0.391 0.894
Tb3 Tb 0.890 0.537 0.889
Ni4 Ni 0.875 0.109 0.106
Tb4 Tb 0.890 0.537 0.611
Tb5 Tb 0.390 0.963 0.111
Tb6 Tb 0.117 0.181 0.750
Al4 Al 0.894 0.823 0.034
Tb7 Tb 0.617 0.319 0.250
Ni5 Ni 0.125 0.891 0.606
Tb8 Tb 0.110 0.463 0.389
Ni6 Ni 0.375 0.391 0.606
Tb9 Tb 0.110 0.463 0.111
Al5 Al 0.106 0.177 0.534
Ni7 Ni 0.875 0.109 0.394
Al6 Al 0.394 0.677 0.534
Al7 Al 0.102 0.166 0.250
Al8 Al 0.394 0.677 0.966
Ni8 Ni 0.125 0.891 0.894
Al9 Al 0.898 0.834 0.750
Tb10 Tb 0.883 0.819 0.250
Al10 Al 0.106 0.177 0.966
Al11 Al 0.398 0.666 0.250
Tb11 Tb 0.390 0.963 0.389
Tb12 Tb 0.610 0.037 0.889
Al12 Al 0.894 0.823 0.466
```

Output
**Fermi-level density of states**: 0.87 states/eV/atom
**DFT formation energy**: -493 meV per atom
**SG**: Pnma (62)

***

The following is a DFT calculation (PBE-GGA) of Ac2Pr2In after structural relaxation.

Cell and atoms, written as CIF:
```
data_Ac2Pr2In
_chemical_formula_sum 'Ac4 Pr4 In2'
_cell_length_a 8.905
_cell_length_b 6.831
_cell_length_c 9.615
_cell_angle_alpha 69.76
_cell_angle_beta 57.95
_cell_angle_gamma 49.32
_symmetry_space_group_name_H-M 'P 1'
_symmetry_Int_Tables_number 1
_symmetry_space_group_name_Hall 'P 1'
loop_
_atom_site_label
_atom_site_type_symbol
_atom_site_fract_x
_atom_site_fract_y
_atom_site_fract_z
Pr1 Pr 0.400 0.000 0.880
Pr2 Pr 0.265 0.000 0.588
Pr3 Pr 0.735 0.000 0.412
Ac1 Ac 0.337 0.623 0.276
In1 In 0.147 0.705 0.000
Ac2 Ac 0.039 0.623 0.724
Ac3 Ac 0.663 0.377 0.724
Pr4 Pr 0.600 0.000 0.120
In2 In 0.853 0.295 0.000
Ac4 Ac 0.961 0.377 0.276
```

Output
**Fermi-level density of states**: 1.03 states/eV/atom
**DFT formation energy**: -87 meV per atom
**ΔE to the lowest computed polymorph**: 0.072 eV/atom
**SG**: C2/m (12)

***

The following is a DFT calculation (PBE-GGA) of Zn2Co5GeB2 after structural relaxation.

Cell and atoms, written as CIF:
```
data_Zn2Co5GeB2
_chemical_formula_sum 'Zn4 Co10 Ge2 B4'
_cell_length_a 2.722
_cell_length_b 8.750
_cell_length_c 8.750
_cell_angle_alpha 90.00
_cell_angle_beta 90.00
_cell_angle_gamma 90.00
_symmetry_space_group_name_H-M 'P 1'
_symmetry_Int_Tables_number 1
_symmetry_space_group_name_Hall 'P 1'
loop_
_atom_site_label
_atom_site_type_symbol
_atom_site_fract_x
_atom_site_fract_y
_atom_site_fract_z
B1 B 0.000 0.123 0.623
Co1 Co 0.500 0.428 0.284
Co2 Co 0.500 0.928 0.216
B2 B 0.000 0.877 0.377
Co3 Co 0.500 0.572 0.716
Zn1 Zn 0.000 0.175 0.325
Co4 Co 0.500 0.284 0.572
Co5 Co 0.500 0.784 0.928
Co6 Co 0.500 0.716 0.428
Zn2 Zn 0.000 0.825 0.675
Co7 Co 0.500 0.500 0.000
Co8 Co 0.500 0.072 0.784
Ge1 Ge 0.000 0.000 0.000
Zn3 Zn 0.000 0.325 0.825
B3 B 0.000 0.377 0.123
Ge2 Ge 0.000 0.500 0.500
Zn4 Zn 0.000 0.675 0.175
Co9 Co 0.500 0.000 0.500
B4 B 0.000 0.623 0.877
Co10 Co 0.500 0.216 0.072
```

Output
**Fermi-level density of states**: 0.34 states/eV/atom
**DFT formation energy**: -218 meV per atom
**SG**: P4/mbm (127)

***

The following is a DFT calculation (PBE-GGA) of Er2Si3NiPt4 after structural relaxation.

Cell and atoms, written as CIF:
```
data_Er2Si3NiPt4
_chemical_formula_sum 'Er2 Si3 Ni1 Pt4'
_cell_length_a 4.122
_cell_length_b 4.122
_cell_length_c 10.101
_cell_angle_alpha 90.00
_cell_angle_beta 90.00
_cell_angle_gamma 90.00
_symmetry_space_group_name_H-M 'P 1'
_symmetry_Int_Tables_number 1
_symmetry_space_group_name_Hall 'P 1'
loop_
_atom_site_label
_atom_site_type_symbol
_atom_site_fract_x
_atom_site_fract_y
_atom_site_fract_z
Er1 Er 0.500 0.000 0.262
Pt1 Pt 0.000 0.500 0.364
Pt2 Pt 0.000 0.000 0.000
Si1 Si 0.000 0.000 0.500
Si2 Si 0.000 0.500 0.135
Si3 Si 0.500 0.000 0.865
Pt3 Pt 0.500 0.000 0.636
Ni1 Ni 0.500 0.500 0.500
Er2 Er 0.000 0.500 0.738
Pt4 Pt 0.500 0.500 0.000
```

Output
**Fermi-level density of states**: 0.68 states/eV/atom
**Uncorrected formation energy**: -0.986 eV per atom
**SG**: P-4m2 (115)

***

The following is a DFT calculation (PBE-GGA) of BaHg3Pt3 after structural relaxation.

Cell and atoms, written as CIF:
```
data_BaHg3Pt3
_chemical_formula_sum 'Ba2 Hg6 Pt6'
_cell_length_a 7.512
_cell_length_b 7.512
_cell_length_c 7.512
_cell_angle_alpha 90.00
_cell_angle_beta 90.00
_cell_angle_gamma 90.00
_symmetry_space_group_name_H-M 'P 1'
_symmetry_Int_Tables_number 1
_symmetry_space_group_name_Hall 'P 1'
loop_
_atom_site_label
_atom_site_type_symbol
_atom_site_fract_x
_atom_site_fract_y
_atom_site_fract_z
Pt1 Pt 0.500 0.750 0.000
Hg1 Hg 0.500 0.000 0.250
Hg2 Hg 0.500 0.000 0.750
Hg3 Hg 0.000 0.750 0.500
Pt2 Pt 0.250 0.000 0.500
Ba1 Ba 0.500 0.500 0.500
Hg4 Hg 0.000 0.250 0.500
Pt3 Pt 0.750 0.000 0.500
Hg5 Hg 0.750 0.500 0.000
Ba2 Ba 0.000 0.000 0.000
Pt4 Pt 0.500 0.250 0.000
Hg6 Hg 0.250 0.500 0.000
Pt5 Pt 0.000 0.500 0.750
Pt6 Pt 0.000 0.500 0.250
```

Output
**Fermi-level density of states**: 0.38 states/eV/atom
**DFT formation energy**: 85 meV per atom
**SG**: Pm-3n (223)

***

The following is a DFT calculation (PBE-GGA) of Ga3Cu5Sn12 after structural relaxation.

Cell and atoms, written as CIF:
```
data_Ga3Cu5Sn12
_chemical_formula_sum 'Ga12 Cu20 Sn48'
_cell_length_a 13.802
_cell_length_b 13.802
_cell_length_c 13.802
_cell_angle_alpha 109.47
_cell_angle_beta 109.47
_cell_angle_gamma 109.47
_symmetry_space_group_name_H-M 'P 1'
_symmetry_Int_Tables_number 1
_symmetry_space_group_name_Hall 'P 1'
loop_
_atom_site_label
_atom_site_type_symbol
_atom_site_fract_x
_atom_site_fract_y
_atom_site_fract_z
Cu1 Cu 0.125 0.375 0.250
Cu2 Cu 0.375 0.250 0.125
Cu3 Cu 0.500 0.000 0.500
Sn1 Sn 0.428 0.382 0.602
Cu4 Cu 0.375 0.125 0.750
Sn2 Sn 0.618 0.046 0.221
Sn3 Sn 0.325 0.779 0.398
Sn4 Sn 0.221 0.546 0.618
Sn5 Sn 0.454 0.779 0.882
Sn6 Sn 0.382 0.428 0.102
Sn7 Sn 0.779 0.325 0.898
Ga1 Ga 0.625 0.250 0.375
Sn8 Sn 0.428 0.046 0.325
Sn9 Sn 0.102 0.175 0.221
Sn10 Sn 0.072 0.898 0.118
Sn11 Sn 0.398 0.118 0.572
Cu5 Cu 0.750 0.625 0.375
Sn12 Sn 0.882 0.279 0.454
Sn13 Sn 0.546 0.221 0.118
Cu6 Cu 0.625 0.750 0.875
Sn14 Sn 0.825 0.898 0.279
Sn15 Sn 0.572 0.954 0.675
Sn16 Sn 0.675 0.221 0.602
Sn17 Sn 0.882 0.602 0.928
Sn18 Sn 0.175 0.072 0.954
Cu7 Cu 0.875 0.250 0.625
Sn19 Sn 0.954 0.572 0.175
Sn20 Sn 0.618 0.572 0.898
Sn21 Sn 0.175 0.102 0.721
Cu8 Cu 0.000 0.500 0.500
Sn22 Sn 0.721 0.602 0.175
Ga2 Ga 0.375 0.625 0.250
Cu9 Cu 0.125 0.750 0.375
Sn23 Sn 0.046 0.618 0.721
Sn24 Sn 0.675 0.454 0.572
Ga3 Ga 0.875 0.125 0.250
Sn25 Sn 0.779 0.454 0.382
Sn26 Sn 0.118 0.721 0.546
Sn27 Sn 0.572 0.618 0.398
Sn28 Sn 0.221 0.675 0.102
Cu10 Cu 0.000 0.500 0.000
Ga4 Ga 0.625 0.375 0.750
Ga5 Ga 0.875 0.750 0.125
Ga6 Ga 0.125 0.250 0.875
Ga7 Ga 0.250 0.125 0.375
Sn29 Sn 0.928 0.825 0.546
Sn30 Sn 0.454 0.675 0.072
Sn31 Sn 0.898 0.825 0.779
Ga8 Ga 0.750 0.375 0.125
Cu11 Cu 0.750 0.125 0.875
Sn32 Sn 0.279 0.882 0.954
Ga9 Ga 0.250 0.625 0.875
Sn33 Sn 0.928 0.102 0.882
Sn34 Sn 0.602 0.882 0.428
Ga10 Ga 0.750 0.875 0.625
Sn35 Sn 0.398 0.279 0.325
Sn36 Sn 0.279 0.398 0.825
Sn37 Sn 0.602 0.721 0.675
Cu12 Cu 0.500 0.500 0.000
Sn38 Sn 0.046 0.428 0.825
Sn39 Sn 0.721 0.118 0.046
Sn40 Sn 0.325 0.546 0.428
Cu13 Cu 0.250 0.375 0.625
Cu14 Cu 0.875 0.625 0.750
Ga11 Ga 0.125 0.875 0.750
Sn41 Sn 0.072 0.175 0.454
Cu15 Cu 0.500 0.000 0.000
Sn42 Sn 0.382 0.954 0.779
Cu16 Cu 0.500 0.500 0.500
Sn43 Sn 0.546 0.325 0.928
Sn44 Sn 0.898 0.072 0.618
Ga12 Ga 0.375 0.750 0.625
Sn45 Sn 0.102 0.928 0.382
Cu17 Cu 0.250 0.875 0.125
Cu18 Cu 0.625 0.875 0.250
Cu19 Cu 0.000 0.000 0.000
Sn46 Sn 0.118 0.398 0.072
Sn47 Sn 0.954 0.382 0.279
Sn48 Sn 0.825 0.928 0.046
Cu20 Cu 0.000 0.000 0.500
```

Output
**Fermi-level density of states**: 0.54 states/eV/atom
**DFT formation energy**: 145 meV per atom
**SG**: Ia-3d (230)